[1]
Mg2Sc2Cu: relaxed, PBE-GGA.

Lattice parameters (Å, degrees): 6.613 6.613 4.934 90.00 90.00 90.00
Atoms (fractional coordinates):
Mg1 0.147 0.353 0.000
Mg2 0.353 0.853 0.000
Mg3 0.647 0.147 0.000
Mg4 0.853 0.647 0.000
Sc1 0.171 0.671 0.500
Sc2 0.329 0.171 0.500
Sc3 0.671 0.829 0.500
Sc4 0.829 0.329 0.500
Cu1 0.000 0.000 0.000
Cu2 0.500 0.500 0.000

Calculated values
The calculation puts the energy above the most stable polymorph in this dataset at 0.253 eV per atom. The value obtained for the total magnetization is 0.92 μB/f.u. For the formation energy, the calculation gives 2.693 kcal/mol of atoms. As for the symmetry: P4/mbm, No. 127. The calculation puts the density of states at the Fermi level at 1.32 states/eV/atom.

=====

[2]
MgScCu: relaxed, PBE-GGA.

Lattice parameters (Å, degrees): 3.150 3.150 11.452 90.00 90.00 90.00
Atoms (fractional coordinates):
Mg1 0.000 0.000 0.000
Mg2 0.500 0.500 0.500
Sc1 0.000 0.000 0.713
Sc2 0.500 0.500 0.213
Cu1 0.000 0.000 0.356
Cu2 0.500 0.500 0.856

Calculated values
The value obtained for the total magnetization is 0.00 μB/f.u. For the formation energy, the calculation gives -3.186 kcal/mol of atoms. As for the symmetry: I4mm, No. 107. The calculation puts the density of states at the Fermi level at 0.74 states/eV/atom.

=====

[3]
MgScCu: relaxed, PBE-GGA.

Lattice parameters (Å, degrees): 4.606 4.606 3.090 90.00 90.00 120.00
Atoms (fractional coordinates):
Mg1 0.000 0.000 0.000
Sc1 0.667 0.333 0.499
Cu1 0.333 0.667 0.996

Calculated values
The value obtained for the total magnetization is 0.00 μB/f.u. For the formation energy, the calculation gives -0.462 kcal/mol of atoms. As for the symmetry: P3m1, No. 156. The calculation puts the density of states at the Fermi level at 0.86 states/eV/atom.